VASP calculation (PBEsol) on a relaxed structure of KTi3Bi.

Formation enthalpy at 0 K ... 1.70 eV/atom
Theoretical density ... 6.93 g cm⁻³
Density of states at the Fermi level ... 7.85 states/eV/f.u.

```
data_KTi3Bi
_chemical_formula_sum 'K1 Ti3 Bi1'
_symmetry_space_group_name_H-M 'P m -3 m'
_symmetry_Int_Tables_number 221
_symmetry_space_group_name_Hall '-P 4 2 3'
_cell_length_a 4.544
_cell_length_b 4.544
_cell_length_c 4.544
_cell_angle_alpha 90.00
_cell_angle_beta 90.00
_cell_angle_gamma 90.00
loop_
_atom_site_label
_atom_site_fract_x
_atom_site_fract_y
_atom_site_fract_z
K1 0.000 0.000 0.000
Ti1 0.000 0.000 0.500
Bi1 0.500 0.500 0.500
```


VASP calculation (PBEsol) on a relaxed structure of KTiBi3.

Formation enthalpy at 0 K ... -0.11 eV/atom
Theoretical density ... 7.37 g cm⁻³
Density of states at the Fermi level ... 4.11 states/eV/f.u.

```
data_KTiBi3
_chemical_formula_sum 'K1 Ti1 Bi3'
_symmetry_space_group_name_H-M 'P m -3 m'
_symmetry_Int_Tables_number 221
_symmetry_space_group_name_Hall '-P 4 2 3'
_cell_length_a 5.439
_cell_length_b 5.439
_cell_length_c 5.439
_cell_angle_alpha 90.00
_cell_angle_beta 90.00
_cell_angle_gamma 90.00
loop_
_atom_site_label
_atom_site_fract_x
_atom_site_fract_y
_atom_site_fract_z
K1 0.000 0.000 0.000
Ti1 0.500 0.500 0.500
Bi1 0.000 0.500 0.500
```


VASP calculation (PBEsol) on a relaxed structure of KTlBi2.

Formation enthalpy at 0 K ... 0.03 eV/atom
Theoretical density ... 8.78 g cm⁻³
Density of states at the Fermi level ... 3.69 states/eV/f.u.

```
data_KTlBi2
_chemical_formula_sum 'K4 Tl4 Bi8'
_symmetry_space_group_name_H-M 'F m -3 m'
_symmetry_Int_Tables_number 225
_symmetry_space_group_name_Hall '-F 4 2 3'
_cell_length_a 7.940
_cell_length_b 7.940
_cell_length_c 7.940
_cell_angle_alpha 90.00
_cell_angle_beta 90.00
_cell_angle_gamma 90.00
loop_
_atom_site_label
_atom_site_fract_x
_atom_site_fract_y
_atom_site_fract_z
K1 0.000 0.000 0.000
Tl1 0.000 0.000 0.500
Bi1 0.250 0.250 0.250
```


VASP calculation (PBEsol) on a relaxed structure of KBi3W.

Formation enthalpy at 0 K ... 0.49 eV/atom
Theoretical density ... 8.65 g cm⁻³
Density of states at the Fermi level ... 3.74 states/eV/f.u.

```
data_KBi3W
_chemical_formula_sum 'K1 Bi3 W1'
_symmetry_space_group_name_H-M 'P m -3 m'
_symmetry_Int_Tables_number 221
_symmetry_space_group_name_Hall '-P 4 2 3'
_cell_length_a 5.464
_cell_length_b 5.464
_cell_length_c 5.464
_cell_angle_alpha 90.00
_cell_angle_beta 90.00
_cell_angle_gamma 90.00
loop_
_atom_site_label
_atom_site_fract_x
_atom_site_fract_y
_atom_site_fract_z
K1 0.000 0.000 0.000
Bi1 0.000 0.500 0.500
W1 0.500 0.500 0.500
```